# 1
TcIr4Pt (GGA-PBE, optimized geometry); V = 14.7 Å³/atom; crystal system = orthorhombic; energy of formation from the pure elements = -0.05 eV/atom; SG = Cmmm; spin magnetization = 0.000 μB/cell
1.0
3.883 -0.005 0.000
-1.939 5.802 -0.484
0.001 0.323 3.879
Ir Tc Pt
4 1 1
direct
0.836 0.674 0.500
0.331 0.661 0.000
0.669 0.339 0.000
0.164 0.326 0.500
0.500 0.000 0.500
0.000 0.000 0.000

# 2
Li2Nd2HoGa2 (GGA-PBE, optimized geometry); V = 23.8 Å³/atom; crystal system = trigonal; energy of formation from the pure elements = -0.28 eV/atom; SG = R-3m; spin magnetization = 0.000 μB/cell
1.0
4.626 0.000 0.000
2.313 4.006 0.000
2.313 1.335 8.976
Li Ga Nd Ho
2 2 2 1
direct
0.389 0.389 0.833
0.611 0.611 0.167
0.267 0.267 0.198
0.733 0.733 0.802
0.125 0.125 0.625
0.875 0.875 0.375
0.000 0.000 0.000

Q: Which of these has the lowest energy of formation from the pure elements?
A: Li2Nd2HoGa2